Below is a relaxed Cs2YUS4 crystal, with properties calculated at the PBE level. Values from VASP.

## Properties
spin magnetization	0.37	μB per atom
ΔE_f (raw)	-1.570	eV per atom
V	29.61	A^3/atom

Structure (Quantum ESPRESSO input):
```
&SYSTEM
  ibrav = 0, nat = 8, ntyp = 4
/
ATOMIC_SPECIES
Cs 132.91 Cs.upf
Y 88.91 Y.upf
U 238.03 U.upf
S 32.06 S.upf
ATOMIC_POSITIONS angstrom
Cs 0.0000 0.0000 0.0000
Cs 3.5583 2.0573 0.0000
Y -1.1879 2.0573 4.0451
U 2.3705 0.0000 4.0451
S -0.0012 0.0000 5.5212
S 1.1884 2.0573 2.5729
S 3.5525 2.0573 5.5173
S 4.7421 0.0000 2.5690
CELL_PARAMETERS angstrom
7.1167 0.0000 0.0000
0.0000 4.1145 0.0000
-2.3757 0.0000 8.0902
```